An optimized crystal structure of NaMg3Pa2N6. Source: the Alexandria database, functional PBE.

Cell: 3.489 6.656 7.143 Å, 101.92 104.14 90.00°
Fractional positions:
1 Pa 0.158 0.315 0.315
2 Pa 0.842 0.685 0.685
3 N 0.328 0.436 0.655
4 N 0.325 0.898 0.650
5 N 0.000 0.276 0.000
6 N 0.675 0.102 0.350
7 N 0.672 0.564 0.345
8 N 0.000 0.724 0.000
9 Mg 0.500 0.500 0.000
10 Mg 0.161 0.831 0.322
11 Mg 0.839 0.169 0.678
12 Na 0.500 0.000 0.000

Properties
* formation energy (no corrections): -22.59 kcal/mol of atoms
* final energy: -7.23 eV per atom
* DOS(E_F): 0.45 states/eV per atom
* calculated volume: 13.10 Å³ per atom


An optimized crystal structure of ScAs2Ir. Source: the Alexandria database, functional PBE.

Cell: 3.263 3.263 6.791 Å, 90.00 90.00 104.39°
Fractional positions:
1 As 0.000 0.000 0.020
2 As 0.000 0.000 0.480
3 Ir 0.500 0.500 0.250
4 Sc 0.500 0.500 0.750

Properties
* final energy: -6.43 eV per atom
* DOS(E_F): 0.84 states/eV per atom
* calculated volume: 17.51 Å³ per atom
* relative energy among the computed polymorphs: 349.8 meV/atom
* energy relative to the elements: -0.3066 eV/atom


An optimized crystal structure of Pb3IO2. Source: the Alexandria database, functional PBE.

Cell: 5.869 8.802 8.018 Å, 123.29 90.00 90.00°
Fractional positions:
1 Pb 0.250 0.210 0.810
2 Pb 0.250 0.600 0.810
3 Pb 0.750 0.400 0.190
4 Pb 0.750 0.790 0.190
5 Pb 0.750 0.907 0.814
6 Pb 0.250 0.093 0.186
7 O 0.500 0.834 0.000
8 O 0.000 0.834 0.000
9 O 0.500 0.166 0.000
10 O 0.000 0.166 0.000
11 I 0.250 0.718 0.435
12 I 0.750 0.282 0.565

Properties
* formation energy (no corrections): -19.56 kcal/mol of atoms
* final energy: -4.61 eV per atom
* DOS(E_F): 0.21 states/eV per atom
* calculated volume: 28.85 Å³ per atom


An optimized crystal structure of Ac2Sm2Rh3. Source: the Alexandria database, functional PBE.

Cell: 4.303 6.860 7.392 Å, 98.37 89.97 108.29°
Fractional positions:
1 Rh 0.228 0.455 0.743
2 Rh 0.000 0.000 0.000
3 Rh 0.772 0.545 0.257
4 Sm 0.632 0.263 0.911
5 Sm 0.368 0.737 0.089
6 Ac 0.130 0.261 0.362
7 Ac 0.870 0.739 0.638

Properties
* final energy: -6.29 eV per atom
* DOS(E_F): 0.52 states/eV per atom
* calculated volume: 29.25 Å³ per atom
* energy relative to the elements: -0.6196 eV/atom


An optimized crystal structure of Ac3GaCu2Pt9. Source: the Alexandria database, functional PBE.

Cell: 7.607 7.607 6.422 Å, 90.00 90.00 120.00°
Fractional positions:
1 Ac 0.000 0.000 0.000
2 Ac 0.667 0.333 0.331
3 Ac 0.333 0.667 0.669
4 Cu 0.333 0.667 0.165
5 Cu 0.667 0.333 0.835
6 Pt 0.500 0.500 0.000
7 Pt 0.166 0.834 0.331
8 Pt 0.333 0.166 0.669
9 Pt 0.166 0.333 0.331
10 Pt 0.667 0.834 0.331
11 Pt 0.834 0.667 0.669
12 Pt 0.834 0.166 0.669
13 Pt 0.500 0.000 0.000
14 Pt 0.000 0.500 0.000
15 Ga 0.000 0.000 0.500

Properties
* final energy: -5.71 eV per atom
* DOS(E_F): 0.30 states/eV per atom
* calculated volume: 21.46 Å³ per atom
* energy relative to the elements: -0.5164 eV/atom


An optimized crystal structure of NdTl2As2Pd7. Source: the Alexandria database, functional PBE.

Cell: 4.094 4.094 14.686 Å, 85.30 85.30 89.94°
Fractional positions:
1 Tl 0.104 0.104 0.600
2 Tl 0.896 0.896 0.400
3 Pd 0.398 0.398 0.417
4 Pd 0.546 0.047 0.848
5 Pd 0.454 0.953 0.152
6 Pd 0.602 0.602 0.583
7 Pd 0.500 0.500 0.000
8 Pd 0.953 0.454 0.152
9 Pd 0.047 0.546 0.848
10 Nd 0.000 0.000 0.000
11 As 0.424 0.424 0.249
12 As 0.576 0.576 0.751

Properties
* final energy: -5.00 eV per atom
* DOS(E_F): 0.37 states/eV per atom
* calculated volume: 20.38 Å³ per atom
* energy relative to the elements: -0.4008 eV/atom